Record 1
! Gd3Mn GGA-PBE optimized geometry; values from VASP
! Formation energy from the elements in eV per atom: 0.298
! Offset from the most stable computed form in meV/atom: 94
&SYSTEM
  ibrav = 0, nat = 4, ntyp = 2
/
ATOMIC_SPECIES
Gd 157.25 Gd.upf
Mn 54.94 Mn.upf
CELL_PARAMETERS angstrom
-0.525 -1.042 -4.647
-2.934 -3.612 1.141
-3.751 2.971 -0.243
ATOMIC_POSITIONS angstrom
Gd -2.138 0.964 -2.445
Mn 0.000 0.000 0.000
Gd -1.729 -2.327 -1.753
Gd -3.343 -0.321 0.449

Record 2
! CsTlTcBr6 GGA-PBE optimized geometry; values from VASP
! E_form (uncorrected) in eV per atom: -0.82
&SYSTEM
  ibrav = 0, nat = 9, ntyp = 4
/
ATOMIC_SPECIES
Tl 204.38 Tl.upf
Tc 98.00 Tc.upf
Br 79.90 Br.upf
Cs 132.91 Cs.upf
CELL_PARAMETERS angstrom
7.918 0.000 0.000
3.959 6.857 0.000
0.000 0.000 7.289
ATOMIC_POSITIONS angstrom
Tl 7.918 4.572 3.645
Tc 3.959 2.286 3.645
Br 4.971 0.487 2.165
Br 5.011 4.061 2.165
Br 2.947 0.487 5.125
Br 6.023 2.309 5.125
Cs 7.918 0.000 7.289
Br 2.907 4.061 5.125
Br 1.895 2.309 2.165

Record 3
! SrGa4 GGA-PBE optimized geometry; values from VASP
! Formation energy from the elements in eV per atom: -0.419
&SYSTEM
  ibrav = 0, nat = 5, ntyp = 2
/
ATOMIC_SPECIES
Ga 69.72 Ga.upf
Sr 87.62 Sr.upf
CELL_PARAMETERS angstrom
4.455 -0.006 0.029
0.015 4.455 0.029
2.197 2.187 5.488
ATOMIC_POSITIONS angstrom
Ga 2.229 2.218 1.312
Ga 2.223 4.433 2.773
Ga 4.438 4.417 4.235
Ga 4.444 2.202 2.773
Sr 0.000 0.000 0.000

Record 4
! KNb2Pb2 GGA-PBE optimized geometry; values from VASP
! Formation energy from the elements in eV per atom: 0.253
! Offset from the most stable computed form in meV/atom: 0
&SYSTEM
  ibrav = 0, nat = 5, ntyp = 3
/
ATOMIC_SPECIES
Pb 207.20 Pb.upf
Nb 92.91 Nb.upf
K 39.10 K.upf
CELL_PARAMETERS angstrom
3.768 0.000 0.000
0.000 3.768 0.000
1.884 1.884 10.157
ATOMIC_POSITIONS angstrom
Pb 1.884 1.884 2.604
Nb 1.884 3.768 5.078
Nb 3.768 1.884 5.078
K 0.000 0.000 0.000
Pb 3.768 3.768 7.553

Record 5
! La4CoSnBi GGA-PBE optimized geometry; values from VASP
! Formation energy from the elements in eV per atom: -0.616
&SYSTEM
  ibrav = 0, nat = 14, ntyp = 4
/
ATOMIC_SPECIES
Sn 118.71 Sn.upf
Bi 208.98 Bi.upf
La 138.91 La.upf
Co 58.93 Co.upf
CELL_PARAMETERS angstrom
7.133 0.000 0.000
0.000 7.137 0.000
-3.566 0.000 8.869
ATOMIC_POSITIONS angstrom
Sn 0.000 1.784 1.958
Sn 3.566 5.353 6.911
Bi 0.000 1.784 6.954
La 3.566 1.784 1.420
Co 3.566 1.784 4.429
Bi 3.566 5.353 1.916
La 3.566 1.784 7.541
La 0.000 5.353 1.329
La 1.783 0.000 4.435
La 0.000 5.353 7.450
Co 0.000 5.353 4.440
La -1.783 3.568 4.435
La 1.783 3.568 4.435
La -1.783 0.000 4.435

Record 6
! TaReSn2 GGA-PBE optimized geometry; values from VASP
! Formation energy from the elements in eV per atom: 0.527
! Offset from the most stable computed form in meV/atom: 0
&SYSTEM
  ibrav = 0, nat = 4, ntyp = 3
/
ATOMIC_SPECIES
Sn 118.71 Sn.upf
Re 186.21 Re.upf
Ta 180.95 Ta.upf
CELL_PARAMETERS angstrom
-4.023 0.842 2.338
-3.264 2.866 -1.868
-4.079 -1.784 -1.594
ATOMIC_POSITIONS angstrom
Sn -2.841 0.481 -0.281
Sn -8.524 1.443 -0.843
Re -5.683 0.962 -0.562
Ta 0.000 0.000 0.000

Record 7
! Sc2CrIr GGA-PBE optimized geometry; values from VASP
! Formation energy from the elements in eV per atom: -0.411
&SYSTEM
  ibrav = 0, nat = 4, ntyp = 3
/
ATOMIC_SPECIES
Sc 44.96 Sc.upf
Ir 192.22 Ir.upf
Cr 52.00 Cr.upf
CELL_PARAMETERS angstrom
-0.516 -4.016 -2.199
1.647 -2.228 3.681
-3.016 -0.264 1.189
ATOMIC_POSITIONS angstrom
Sc 0.000 0.000 0.000
Sc 0.565 -3.122 0.741
Ir -0.684 -1.246 2.435
Cr -1.766 -2.140 -0.505

Record 8
! SrHf2P GGA-PBE optimized geometry; values from VASP
! Formation energy from the elements in eV per atom: 0.268
&SYSTEM
  ibrav = 0, nat = 8, ntyp = 3
/
ATOMIC_SPECIES
Hf 178.49 Hf.upf
P 30.97 P.upf
Sr 87.62 Sr.upf
CELL_PARAMETERS angstrom
5.160 0.000 0.000
0.000 5.160 0.000
2.580 2.580 9.288
ATOMIC_POSITIONS angstrom
Hf 6.450 5.160 6.966
P 2.580 5.160 4.644
Sr 0.000 0.000 0.000
Sr 5.160 2.580 4.644
Hf 3.870 5.161 6.966
P 2.580 2.580 0.000
Hf 2.580 1.290 2.322
Hf 2.581 3.870 2.322

Record 9
! LiAcSmTl GGA-PBE optimized geometry; values from VASP
! Formation energy from the elements in eV per atom: -0.164
! Offset from the most stable computed form in meV/atom: 0
&SYSTEM
  ibrav = 0, nat = 4, ntyp = 4
/
ATOMIC_SPECIES
Tl 204.38 Tl.upf
Sm 150.36 Sm.upf
Ac 227.00 Ac.upf
Li 6.94 Li.upf
CELL_PARAMETERS angstrom
5.599 0.000 0.000
2.799 4.849 0.000
2.799 1.616 4.571
ATOMIC_POSITIONS angstrom
Tl 5.599 3.232 2.286
Sm 2.799 1.616 1.143
Ac 8.398 4.849 3.429
Li 0.000 0.000 0.000

Record 10
! LiSc2Ni GGA-PBE optimized geometry; values from VASP
! Formation energy from the elements in eV per atom: -0.096
&SYSTEM
  ibrav = 0, nat = 4, ntyp = 3
/
ATOMIC_SPECIES
Sc 44.96 Sc.upf
Ni 58.69 Ni.upf
Li 6.94 Li.upf
CELL_PARAMETERS angstrom
5.722 0.014 0.064
4.812 3.095 0.064
1.788 0.528 4.183
ATOMIC_POSITIONS angstrom
Sc 9.230 2.724 3.240
Ni 3.093 0.913 1.069
Sc 10.145 2.994 0.309
Li 6.550 1.933 1.977

Record 11
! La3SmGa2 GGA-PBE optimized geometry; values from VASP
! Formation energy from the elements in eV per atom: -0.414
! Offset from the most stable computed form in meV/atom: 0
&SYSTEM
  ibrav = 0, nat = 12, ntyp = 3
/
ATOMIC_SPECIES
La 138.91 La.upf
Ga 69.72 Ga.upf
Sm 150.36 Sm.upf
CELL_PARAMETERS angstrom
5.265 0.000 0.000
0.000 6.778 0.000
0.000 0.000 9.831
ATOMIC_POSITIONS angstrom
La 0.000 5.476 6.552
La 2.632 4.690 1.667
La 0.000 2.087 3.279
Ga 2.632 4.843 8.324
Ga 0.000 1.955 6.377
Ga 0.000 5.344 3.454
Ga 2.632 1.454 1.507
La 0.000 6.722 0.571
La 2.632 1.301 8.163
Sm 2.632 3.426 5.499
La 0.000 3.333 9.260
Sm 2.632 0.037 4.331

Record 12
! Nd6InRu GGA-PBE optimized geometry; values from VASP
! Formation energy from the elements in eV per atom: -0.055
&SYSTEM
  ibrav = 0, nat = 8, ntyp = 3
/
ATOMIC_SPECIES
Nd 144.24 Nd.upf
Ru 101.07 Ru.upf
In 114.82 In.upf
CELL_PARAMETERS angstrom
6.544 0.384 0.000
1.909 8.138 0.000
0.954 4.069 5.074
ATOMIC_POSITIONS angstrom
Nd 5.420 6.696 0.000
Ru 4.227 4.261 0.000
In 0.000 0.000 0.000
Nd 3.034 1.826 0.000
Nd 5.956 3.535 1.958
Nd 2.497 4.987 1.958
Nd 3.451 9.056 3.116
Nd 6.911 7.605 3.116

> Number 9 is which compound?

LiAcSmTl

> What is the formula in the eighth record?

SrHf2P

Repeat the sixth record exactly.
! TaReSn2 GGA-PBE optimized geometry; values from VASP
! Formation energy from the elements in eV per atom: 0.527
! Offset from the most stable computed form in meV/atom: 0
&SYSTEM
  ibrav = 0, nat = 4, ntyp = 3
/
ATOMIC_SPECIES
Sn 118.71 Sn.upf
Re 186.21 Re.upf
Ta 180.95 Ta.upf
CELL_PARAMETERS angstrom
-4.023 0.842 2.338
-3.264 2.866 -1.868
-4.079 -1.784 -1.594
ATOMIC_POSITIONS angstrom
Sn -2.841 0.481 -0.281
Sn -8.524 1.443 -0.843
Re -5.683 0.962 -0.562
Ta 0.000 0.000 0.000